[1]
Entry from the Alexandria database: an optimized crystal structure of MnCrCo2C (PBE).

Its crystal system is tetragonal. For the total magnetization, the calculation gives 1.4 Bohr magnetons per cell. The energy relative to the elements comes out at 0.28 eV/atom. The value obtained for the total energy is -8.170 eV/atom.

The structure belongs to space group P4/mmm (No. 123); the cell edges are 3.6658, 3.6658 and 3.8484 Å and the angles 90.00°, 90.00° and 90.00°. The inequivalent atoms are Mn at (0.0000, 0.0000, 0.0000), Cr at (0.5000, 0.5000, 0.0000), Co at (0.0000, 0.5000, 0.5000) and C at (0.5000, 0.5000, 0.5000).

[2]
Entry from the Alexandria database: an optimized crystal structure of NbCrCoC2 (PBE).

Its crystal system is tetragonal. For the total magnetization, the calculation gives 0.2 Bohr magnetons per cell. The energy relative to the elements comes out at 2.25 eV/atom. The value obtained for the total energy is -6.804 eV/atom.

The structure belongs to space group P4/mmm (No. 123); the cell edges are 4.0867, 4.0867 and 4.5055 Å and the angles 90.00°, 90.00° and 90.00°. The inequivalent atoms are Nb at (0.0000, 0.0000, 0.0000), Cr at (0.5000, 0.5000, 0.5000), Co at (0.0000, 0.0000, 0.5000) and C at (0.0000, 0.5000, 0.0000).

[3]
Entry from the Alexandria database: an optimized crystal structure of NbCr2CoC (PBE).

Its crystal system is tetragonal. For the total magnetization, the calculation gives 0.4 Bohr magnetons per cell. The energy relative to the elements comes out at -0.04 eV/atom. The value obtained for the total energy is -9.174 eV/atom.

The structure belongs to space group P4/mmm (No. 123); the cell edges are 3.9248, 3.9248 and 3.7483 Å and the angles 90.00°, 90.00° and 90.00°. The inequivalent atoms are Nb at (0.0000, 0.0000, 0.0000), Cr at (0.0000, 0.5000, 0.5000), Co at (0.5000, 0.5000, 0.0000) and C at (0.5000, 0.5000, 0.5000).

[4]
Entry from the Alexandria database: an optimized crystal structure of NbCrCo2C (PBE).

Its crystal system is tetragonal. For the total magnetization, the calculation gives 0.8 Bohr magnetons per cell. The distance to the lowest polymorph of the same formula comes out at 0 meV/atom. The energy relative to the elements comes out at -0.05 eV/atom. The value obtained for the total energy is -8.679 eV/atom.

The structure belongs to space group P4/mmm (No. 123); the cell edges are 3.7774, 3.7774 and 3.9380 Å and the angles 90.00°, 90.00° and 90.00°. The inequivalent atoms are Nb at (0.0000, 0.0000, 0.0000), Cr at (0.5000, 0.5000, 0.0000), Co at (0.0000, 0.5000, 0.5000) and C at (0.5000, 0.5000, 0.5000).

Question: total energy of number 2 (NbCrCoC2)?
Answer: -6.804 eV/atom

Question: Which formula does entry 3 have?
Answer: NbCr2CoC

Question: The highest energy relative to the elements belongs to which entry?
Answer: NbCrCoC2